The following is a DFT calculation (GGA+U) of a relaxed HfFeP2O crystal.

## Properties
crystal system = tetragonal
polymorph energy (0 for the lowest one) = 9 meV/atom
E_tot = -6.417 eV/atom

Cell lengths 5.1120, 5.1120, 3.9041 Å; angles 90.00, 90.00, 90.00 degrees
Fractional positions:
Hf  0.0000  0.0000  0.0000
Fe  0.5000  0.5000  0.5000
P  0.0000  0.5000  0.0000
P  0.5000  0.0000  0.0000
O  0.0000  0.0000  0.5000